Density functional theory data (PBE with a Hubbard U) for a relaxed structure of Li2Cd2WO6.

Space group: No. 12
Spin magnetization in μB/atom: 0.0000
DFT total energy in Ry per atom: -0.404

Cell: 5.6932 5.6932 5.3237 Å, 97.35 97.35 119.40°
With the nearest neighbours (Å) after each atom.
Fractional coordinates of all 11 atoms:
Cd 0.3377 0.6623 0.5000  6 O 2.34-2.38
O 0.2188 0.2188 0.2705  1 W 1.96, 2 Li 2.12
O 0.9567 0.6679 0.2818  1 W 1.97, 1 Li 2.06
O 0.7812 0.7812 0.7295  1 W 1.96, 2 Li 2.12
O 0.3321 0.0433 0.7182  1 W 1.97, 1 Li 2.06
O 0.0433 0.3321 0.7182  1 W 1.97, 1 Li 2.06
O 0.6679 0.9567 0.2818  1 W 1.97, 1 Li 2.06
Li 0.1354 0.8646 0.0000  4 O 2.06-2.12
W 0.0000 0.0000 0.5000  6 O 1.96-1.97
Cd 0.6623 0.3377 0.5000  6 O 2.34-2.38
Li 0.8646 0.1354 0.0000  4 O 2.06-2.12